This record from the Alexandria database describes a relaxed structure of BeSbOF2. The functional is PBE-GGA.

Cell: 4.488 4.488 4.190 Å, 90.00 90.00 90.00°
Fractional coordinates of all 5 atoms:
O (0.000, 0.000, 0.500)
Sb (0.000, 0.000, 0.000)
F (0.500, 0.000, 0.000)
F (0.000, 0.500, 0.000)
Be (0.500, 0.500, 0.500)

Output
Its total moment is 0.70 μB/f.u. Its space group is P4/mmm, No. 123. The uncorrected formation energy comes out at -0.757 eV/atom. The energy above the most stable polymorph in this dataset comes out at 932 meV/atom.


This record from the Alexandria database describes a relaxed structure of ThRh6. The functional is PBE-GGA.

Cell: 5.822 5.822 5.822 Å, 109.47 109.47 109.47°
Fractional coordinates of all 7 atoms:
Rh (0.250, 0.750, 0.500)
Rh (0.500, 0.750, 0.250)
Rh (0.750, 0.250, 0.500)
Rh (0.250, 0.500, 0.750)
Rh (0.500, 0.250, 0.750)
Rh (0.750, 0.500, 0.250)
Th (0.000, 0.000, 0.000)

Output
The formation energy is 0.45 eV per atom. Its total moment is 0.00 μB/f.u. Its space group is Im-3m, No. 229. The energy above the most stable polymorph in this dataset comes out at 777 meV/atom.


This record from the Alexandria database describes a relaxed structure of BaDy2Au2O6. The functional is PBE-GGA.

Cell: 8.080 7.781 8.887 Å, 136.88 118.01 34.12°
Fractional coordinates of all 11 atoms:
O (0.451, 0.056, 0.829)
O (0.866, 0.006, 0.575)
O (0.134, 0.994, 0.425)
O (0.723, 0.959, 0.164)
O (0.277, 0.041, 0.836)
O (0.549, 0.944, 0.171)
Dy (0.807, 0.468, 0.770)
Dy (0.193, 0.532, 0.230)
Au (0.062, 0.984, 0.153)
Au (0.938, 0.016, 0.847)
Ba (0.500, 0.000, 0.500)

Output
Its total moment is 0.00 μB/f.u. Its space group is P-1, No. 2. The uncorrected formation energy comes out at -1.866 eV/atom.


This record from the Alexandria database describes a relaxed structure of Pm3AsS6. The functional is PBE-GGA.

Cell: 7.063 8.632 8.632 Å, 102.31 90.00 90.00°
Fractional coordinates of all 20 atoms:
Pm (0.976, 0.085, 0.287)
Pm (0.405, 0.399, 0.601)
Pm (0.905, 0.601, 0.399)
Pm (0.476, 0.287, 0.085)
Pm (0.976, 0.713, 0.915)
Pm (0.476, 0.915, 0.713)
S (0.708, 0.973, 0.027)
S (0.190, 0.686, 0.640)
S (0.691, 0.578, 0.097)
S (0.191, 0.097, 0.578)
S (0.691, 0.903, 0.422)
S (0.619, 0.222, 0.778)
S (0.208, 0.027, 0.973)
S (0.119, 0.778, 0.222)
S (0.690, 0.314, 0.360)
S (0.190, 0.360, 0.314)
S (0.690, 0.640, 0.686)
S (0.191, 0.422, 0.903)
As (0.040, 0.183, 0.817)
As (0.540, 0.817, 0.183)

Output
Its total moment is 0.00 μB/f.u. Its space group is Cmc2_1, No. 36. The uncorrected formation energy comes out at -1.555 eV/atom.


This record from the Alexandria database describes a relaxed structure of TaCo. The functional is PBE-GGA.

Cell: 4.456 4.456 4.456 Å, 37.81 37.81 37.81°
Fractional coordinates of all 2 atoms:
Co (0.000, 0.000, 0.000)
Ta (0.500, 0.500, 0.500)

Output
The formation energy is 0.19 eV per atom. Its total moment is 1.03 μB/f.u. Its space group is R-3m, No. 166.


This record from the Alexandria database describes a relaxed structure of Ce2PuThSe5. The functional is PBE-GGA.

Cell: 5.357 5.357 11.113 Å, 90.00 90.00 90.00°
Fractional coordinates of all 9 atoms:
Se (0.000, 0.000, 0.755)
Se (0.500, 0.500, 0.000)
Se (0.500, 0.000, 0.500)
Se (0.000, 0.000, 0.245)
Se (0.000, 0.500, 0.500)
Th (0.000, 0.000, 0.500)
Ce (0.500, 0.500, 0.721)
Ce (0.500, 0.500, 0.279)
Pu (0.000, 0.000, 0.000)

Output
Its total moment is 3.36 μB/f.u. Its space group is P4/mmm, No. 123. The uncorrected formation energy comes out at -1.026 eV/atom.


This record from the Alexandria database describes a relaxed structure of Fe2CoCu. The functional is PBE-GGA.

Cell: 4.380 4.380 4.431 Å, 80.86 80.86 33.70°
Fractional coordinates of all 4 atoms:
Co (0.501, 0.501, 0.505)
Cu (0.248, 0.248, 0.247)
Fe (0.751, 0.751, 0.741)
Fe (0.999, 0.999, 0.006)

Output
The formation energy is 0.10 eV per atom. Its total moment is 6.78 μB/f.u. Its space group is Cm, No. 8. The energy above the most stable polymorph in this dataset comes out at 33 meV/atom.


This record from the Alexandria database describes a relaxed structure of ZrCuNi2. The functional is PBE-GGA.

Cell: 5.009 6.686 6.727 Å, 90.00 90.00 90.00°
Fractional coordinates of all 16 atoms:
Zr (0.632, 0.750, 0.965)
Zr (0.132, 0.250, 0.535)
Zr (0.868, 0.750, 0.465)
Zr (0.368, 0.250, 0.035)
Cu (0.139, 0.750, 0.108)
Cu (0.861, 0.250, 0.892)
Cu (0.639, 0.250, 0.392)
Cu (0.361, 0.750, 0.608)
Ni (0.583, 0.053, 0.687)
Ni (0.417, 0.947, 0.313)
Ni (0.583, 0.447, 0.687)
Ni (0.917, 0.053, 0.187)
Ni (0.917, 0.447, 0.187)
Ni (0.417, 0.553, 0.313)
Ni (0.083, 0.553, 0.813)
Ni (0.083, 0.947, 0.813)

Output
The formation energy is -0.23 eV per atom. Its total moment is 0.00 μB/f.u. Its space group is Pnma, No. 62.


This record from the Alexandria database describes a relaxed structure of Zr3PRu. The functional is PBE-GGA.

Cell: 4.962 4.962 4.962 Å, 90.00 90.00 90.00°
Fractional coordinates of all 5 atoms:
Zr (0.000, 0.500, 0.000)
Zr (0.000, 0.000, 0.500)
Zr (0.500, 0.000, 0.000)
Ru (0.000, 0.000, 0.000)
P (0.500, 0.500, 0.500)

Output
The formation energy is 0.34 eV per atom. Its total moment is 0.00 μB/f.u. Its space group is Pm-3m, No. 221. The energy above the most stable polymorph in this dataset comes out at 320 meV/atom.


This record from the Alexandria database describes a relaxed structure of HfNiPbS3. The functional is PBE-GGA.

Cell: 3.701 7.747 9.169 Å, 107.83 90.00 90.00°
Fractional coordinates of all 12 atoms:
Ni (0.750, 0.937, 0.383)
Ni (0.250, 0.063, 0.617)
S (0.250, 0.768, 0.444)
S (0.750, 0.232, 0.556)
S (0.750, 0.444, 0.142)
S (0.250, 0.103, 0.871)
S (0.750, 0.897, 0.129)
S (0.250, 0.556, 0.858)
Hf (0.750, 0.315, 0.838)
Hf (0.250, 0.685, 0.162)
Pb (0.250, 0.201, 0.310)
Pb (0.750, 0.799, 0.690)

Output
Its total moment is 0.00 μB/f.u. Its space group is P2_1/m, No. 11. The uncorrected formation energy comes out at -0.935 eV/atom.


This record from the Alexandria database describes a relaxed structure of Rb3Sn2Br4Cl3. The functional is PBE-GGA.

Cell: 5.959 5.622 14.730 Å, 101.00 101.67 90.00°
Fractional coordinates of all 12 atoms:
Cl (0.972, 0.000, 0.000)
Cl (0.067, 0.604, 0.207)
Cl (0.860, 0.396, 0.793)
Br (0.391, 0.907, 0.814)
Br (0.271, 0.203, 0.406)
Br (0.865, 0.797, 0.594)
Br (0.577, 0.093, 0.186)
Sn (0.101, 0.101, 0.203)
Sn (0.898, 0.899, 0.797)
Rb (0.642, 0.500, 0.000)
Rb (0.263, 0.322, 0.643)
Rb (0.620, 0.678, 0.357)

Output
Its total moment is 0.00 μB/f.u. Its space group is Imm2, No. 44. The uncorrected formation energy comes out at -1.365 eV/atom.


This record from the Alexandria database describes a relaxed structure of LaPmPbBr. The functional is PBE-GGA.

Cell: 5.511 5.511 5.511 Å, 60.00 60.00 60.00°
Fractional coordinates of all 4 atoms:
Pm (0.000, 0.000, 0.000)
Br (0.750, 0.750, 0.750)
La (0.500, 0.500, 0.500)
Pb (0.250, 0.250, 0.250)

Output
Its total moment is 0.00 μB/f.u. Its space group is F-43m, No. 216. The uncorrected formation energy comes out at -0.845 eV/atom.


This record from the Alexandria database describes a relaxed structure of Na4Np3CuN8. The functional is PBE-GGA.

Cell: 6.570 6.740 6.918 Å, 119.05 118.35 90.00°
Fractional coordinates of all 16 atoms:
N (0.736, 0.294, 0.473)
N (0.766, 0.325, 0.063)
N (0.704, 0.675, 0.937)
N (0.729, 0.689, 0.458)
N (0.264, 0.706, 0.527)
N (0.296, 0.325, 0.063)
N (0.271, 0.311, 0.542)
N (0.234, 0.675, 0.937)
Na (0.000, 0.000, 0.000)
Na (0.500, 0.000, 0.500)
Na (0.000, 0.000, 0.500)
Na (0.500, 0.000, 0.000)
Np (0.000, 0.500, 0.500)
Np (0.500, 0.500, 0.000)
Np (0.500, 0.500, 0.500)
Cu (0.000, 0.500, 0.000)

Output
Its total moment is 1.54 μB/f.u. Its space group is C2/m, No. 12. The uncorrected formation energy comes out at -0.547 eV/atom.


This record from the Alexandria database describes a relaxed structure of RbN2Cl. The functional is PBE-GGA.

Cell: 7.698 7.698 7.698 Å, 24.38 24.38 24.38°
Fractional coordinates of all 4 atoms:
Rb (0.000, 0.000, 0.000)
N (0.117, 0.117, 0.117)
N (0.883, 0.883, 0.883)
Cl (0.500, 0.500, 0.500)

Output
Its total moment is 0.00 μB/f.u. Its space group is R-3m, No. 166. The uncorrected formation energy comes out at 2.187 eV/atom. The energy above the most stable polymorph in this dataset comes out at 3093 meV/atom.


This record from the Alexandria database describes a relaxed structure of TiBF2. The functional is PBE-GGA.

Cell: 8.674 8.674 8.674 Å, 17.61 17.61 17.61°
Fractional coordinates of all 4 atoms:
B (0.000, 0.000, 0.000)
F (0.889, 0.889, 0.889)
F (0.111, 0.111, 0.111)
Ti (0.500, 0.500, 0.500)

Output
Its total moment is 0.00 μB/f.u. Its space group is R-3m, No. 166. The uncorrected formation energy comes out at -0.988 eV/atom. The energy above the most stable polymorph in this dataset comes out at 91 meV/atom.


This record from the Alexandria database describes a relaxed structure of RbTc2Ru. The functional is PBE-GGA.

Cell: 7.498 7.498 6.141 Å, 52.37 52.37 90.00°
Fractional coordinates of all 8 atoms:
Ru (0.000, 0.000, 0.000)
Ru (0.750, 0.250, 0.500)
Rb (0.250, 0.750, 0.500)
Rb (0.500, 0.500, 0.000)
Tc (0.700, 0.125, 0.250)
Tc (0.050, 0.625, 0.250)
Tc (0.875, 0.950, 0.750)
Tc (0.375, 0.300, 0.750)

Output
The formation energy is 1.67 eV per atom. Its total moment is 0.00 μB/f.u. Its space group is I-42d, No. 122. The energy above the most stable polymorph in this dataset comes out at 0 meV/atom.


This record from the Alexandria database describes a relaxed structure of Hf2NO. The functional is PBE-GGA.

Cell: 3.988 3.988 3.988 Å, 60.00 60.00 60.00°
Fractional coordinates of all 4 atoms:
N (0.000, 0.000, 0.000)
Hf (0.750, 0.750, 0.750)
Hf (0.250, 0.250, 0.250)
O (0.500, 0.500, 0.500)

Output
Its total moment is 0.00 μB/f.u. Its space group is Fm-3m, No. 225. The uncorrected formation energy comes out at -1.299 eV/atom. The energy above the most stable polymorph in this dataset comes out at 610 meV/atom.


This record from the Alexandria database describes a relaxed structure of Zn5Ga3Hg12. The functional is PBE-GGA.

Cell: 14.075 14.075 14.075 Å, 109.47 109.47 109.47°
Fractional coordinates of all 80 atoms:
Ga (0.375, 0.750, 0.625)
Ga (0.625, 0.250, 0.375)
Ga (0.125, 0.250, 0.875)
Ga (0.375, 0.625, 0.250)
Ga (0.625, 0.375, 0.750)
Ga (0.750, 0.875, 0.625)
Ga (0.750, 0.375, 0.125)
Ga (0.250, 0.625, 0.875)
Ga (0.875, 0.125, 0.250)
Ga (0.250, 0.125, 0.375)
Ga (0.125, 0.875, 0.750)
Ga (0.875, 0.750, 0.125)
Hg (0.175, 0.108, 0.728)
Hg (0.434, 0.380, 0.608)
Hg (0.325, 0.772, 0.392)
Hg (0.066, 0.175, 0.446)
Hg (0.934, 0.108, 0.880)
Hg (0.620, 0.054, 0.228)
Hg (0.825, 0.892, 0.272)
Hg (0.554, 0.228, 0.120)
Hg (0.608, 0.728, 0.675)
Hg (0.066, 0.892, 0.120)
Hg (0.880, 0.608, 0.934)
Hg (0.272, 0.880, 0.946)
Hg (0.566, 0.946, 0.675)
Hg (0.554, 0.325, 0.934)
Hg (0.175, 0.066, 0.946)
Hg (0.566, 0.620, 0.392)
Hg (0.446, 0.675, 0.066)
Hg (0.392, 0.272, 0.325)
Hg (0.434, 0.054, 0.325)
Hg (0.620, 0.566, 0.892)
Hg (0.054, 0.620, 0.728)
Hg (0.675, 0.446, 0.566)
Hg (0.892, 0.825, 0.772)
Hg (0.934, 0.825, 0.554)
Hg (0.228, 0.675, 0.108)
Hg (0.446, 0.772, 0.880)
Hg (0.054, 0.434, 0.825)
Hg (0.675, 0.228, 0.608)
Hg (0.120, 0.728, 0.554)
Hg (0.325, 0.554, 0.434)
Hg (0.380, 0.946, 0.772)
Hg (0.946, 0.566, 0.175)
Hg (0.825, 0.934, 0.054)
Hg (0.946, 0.380, 0.272)
Hg (0.608, 0.880, 0.434)
Hg (0.228, 0.554, 0.620)
Hg (0.772, 0.446, 0.380)
Hg (0.380, 0.434, 0.108)
Hg (0.108, 0.934, 0.380)
Hg (0.892, 0.066, 0.620)
Hg (0.120, 0.392, 0.066)
Hg (0.728, 0.608, 0.175)
Hg (0.728, 0.120, 0.054)
Hg (0.392, 0.120, 0.566)
Hg (0.272, 0.392, 0.825)
Hg (0.880, 0.272, 0.446)
Hg (0.108, 0.175, 0.228)
Hg (0.772, 0.325, 0.892)
Zn (0.875, 0.250, 0.625)
Zn (0.000, 0.000, 0.500)
Zn (0.250, 0.875, 0.125)
Zn (0.250, 0.375, 0.625)
Zn (0.625, 0.750, 0.875)
Zn (0.125, 0.750, 0.375)
Zn (0.750, 0.625, 0.375)
Zn (0.000, 0.000, 0.000)
Zn (0.500, 0.000, 0.500)
Zn (0.375, 0.250, 0.125)
Zn (0.625, 0.875, 0.250)
Zn (0.750, 0.125, 0.875)
Zn (0.125, 0.375, 0.250)
Zn (0.500, 0.000, 0.000)
Zn (0.000, 0.500, 0.000)
Zn (0.500, 0.500, 0.500)
Zn (0.875, 0.625, 0.750)
Zn (0.000, 0.500, 0.500)
Zn (0.375, 0.125, 0.750)
Zn (0.500, 0.500, 0.000)

Output
The formation energy is 0.16 eV per atom. Its total moment is 0.00 μB/f.u. Its space group is Ia-3d, No. 230.


This record from the Alexandria database describes a relaxed structure of Be2TcPd. The functional is PBE-GGA.

Cell: 4.006 4.006 4.006 Å, 60.00 60.00 60.00°
Fractional coordinates of all 4 atoms:
Be (0.250, 0.250, 0.250)
Be (0.750, 0.750, 0.750)
Pd (0.500, 0.500, 0.500)
Tc (0.000, 0.000, 0.000)

Output
The formation energy is -0.16 eV per atom. Its total moment is 0.00 μB/f.u. Its space group is Fm-3m, No. 225. The energy above the most stable polymorph in this dataset comes out at 120 meV/atom.


This record from the Alexandria database describes a relaxed structure of Be2Cd. The functional is PBE-GGA.

Cell: 3.990 3.990 2.888 Å, 90.00 90.00 120.00°
Fractional coordinates of all 3 atoms:
Cd (0.000, 0.000, 0.500)
Be (0.667, 0.333, 0.000)
Be (0.333, 0.667, 0.000)

Output
The formation energy is 0.53 eV per atom. Its total moment is 0.00 μB/f.u. Its space group is P6/mmm, No. 191. The energy above the most stable polymorph in this dataset comes out at 299 meV/atom.


| no. | energy (eV/atom) |
| --- | --- |
| 1 | -4.067 |
| 2 | -6.909 |
| 3 | -6.178 |
| 4 | -5.921 |
| 5 | -9.289 |
| 6 | -6.697 |
| 7 | -6.932 |
| 8 | -6.281 |
| 9 | -7.723 |
| 10 | -6.239 |
| 11 | -3.293 |
| 12 | -4.610 |
| 13 | -7.722 |
| 14 | -2.679 |
| 15 | -5.567 |
| 16 | -6.072 |
| 17 | -9.596 |
| 18 | -0.798 |
| 19 | -5.914 |
| 20 | -2.261 |